(1)
## LiTmSn3 (PBE)

Data for a relaxed structure of LiTmSn3.

a b c (Å): 6.1479 12.8981 6.1223
angles (deg): 90.00 90.06 90.00
Space group P2/c (No. 13)
Symmetry-distinct sites (fractional):
Li (0.0000, 0.1089, 0.2500) x2
Li (0.5000, 0.1090, 0.2500) x2
Tm (0.2500, 0.3111, 0.0049) x4
Sn (0.0000, 0.4971, 0.7500) x2
Sn (0.2501, 0.0831, 0.8202) x4
Sn (0.2500, 0.2672, 0.5000) x4
Sn (0.5000, 0.4969, 0.7500) x2

Values from the calculation:
The total energy is -81.193 eV for the cell shown. Its total moment is 0.0 Bohr magnetons per cell. The formation energy is -0.38 eV per atom. For the density of states at the Fermi level, the calculation gives 0.537 states/eV per atom. The calculation puts the mass density at 7.28 Mg/m³.

---

(2)
## Ac2Al3CdHg4 (PBE)

Data for a relaxed structure of Ac2Al3CdHg4.

a b c (Å): 4.6884 4.6884 11.3509
angles (deg): 90.00 90.00 90.00
Space group P-4m2 (No. 115)
Symmetry-distinct sites (fractional):
Ac (0.0000, 0.5000, 0.2422) x2
Al (0.0000, 0.5000, 0.8723) x2
Al (0.5000, 0.5000, 0.5000) x1
Cd (0.0000, 0.0000, 0.5000) x1
Hg (0.0000, 0.0000, 0.0000) x1
Hg (0.0000, 0.5000, 0.6417) x2
Hg (0.5000, 0.5000, 0.0000) x1

Values from the calculation:
The total energy is -25.090 eV for the cell shown. Its total moment is 0.0 Bohr magnetons per cell. The formation energy is -0.35 eV per atom. For the density of states at the Fermi level, the calculation gives 0.367 states/eV per atom. The calculation puts the mass density at 9.65 Mg/m³.